Record 1
Ce2PuRu2: optimized geometry, PBE-GGA.

**SG**: Cmc2_1, No. 36
**Energy of formation from the pure elements**: -0.26 eV per atom
**Calculated total energy**: -9.207 eV/atom
**ρ**: 10684 kg/m³
**D(E_F)**: 9.03 states/eV/f.u.

Geometry as POSCAR:
```
Ce2PuRu2
1.0
-1.5518 1.3979 3.7026
-4.1393 -1.0444 -3.7809
-0.6328 -9.4568 3.3051
Ce Pu Ru
4 2 4
Direct
0.9151 0.8302 0.1464 Ce
0.3346 0.6693 0.8367 Ce
0.0849 0.1698 0.6464 Ce
0.6654 0.3307 0.3367 Ce
0.6682 0.3365 0.9598 Pu
0.3318 0.6635 0.4598 Pu
0.1786 0.3572 0.1455 Ru
0.0033 0.0065 0.8969 Ru
0.8214 0.6428 0.6455 Ru
0.9967 0.9935 0.3969 Ru
```

***

Record 2
Th4PdPt12: optimized geometry, PBE-GGA.

**SG**: Im-3m, No. 229
**Energy of formation from the pure elements**: -0.97 eV per atom
**Calculated total energy**: -7.290 eV/atom
**ρ**: 17068 kg/m³
**D(E_F)**: 6.15 states/eV/f.u.

Geometry as POSCAR:
```
Th4PdPt12
1.0
7.0974 0.0000 -2.5093
-3.5487 6.1466 -2.5093
0.0000 0.0000 7.5280
Th Pd Pt
4 1 12
Direct
0.0000 0.0000 0.5000 Th
0.5000 0.0000 0.0000 Th
0.5000 0.5000 0.5000 Th
0.0000 0.5000 0.0000 Th
0.0000 0.0000 0.0000 Pd
0.0000 0.2987 0.2987 Pt
0.0000 0.7013 0.7013 Pt
0.7013 0.7013 0.0000 Pt
0.2987 0.2987 0.0000 Pt
0.2987 0.0000 0.2987 Pt
0.7013 0.0000 0.7013 Pt
0.5000 0.2500 0.7500 Pt
0.5000 0.7500 0.2500 Pt
0.7500 0.2500 0.5000 Pt
0.2500 0.7500 0.5000 Pt
0.7500 0.5000 0.2500 Pt
0.2500 0.5000 0.7500 Pt
```

***

Record 3
Ho2HgF: optimized geometry, PBE-GGA.

**Energy relative to the elements, uncorrected**: -128.1 kJ per mole of atoms
**SG**: R-3m, No. 166
**Calculated total energy**: -4.160 eV/atom
**ρ**: 6891 kg/m³
**D(E_F)**: 4.68 states/eV/f.u.

Geometry as POSCAR:
```
Ho2HgF
1.0
-2.7606 2.7230 2.7357
-2.5583 -1.9588 3.4839
3.3949 1.1664 6.3805
F Hg Ho
1 1 2
Direct
0.0000 0.0000 0.0000 F
0.5000 0.5000 0.5000 Hg
0.1061 0.1061 0.6816 Ho
0.8939 0.8939 0.3184 Ho
```

***

Record 4
KLaRh: optimized geometry, PBE-GGA.

**SG**: P3m1, No. 156
**Energy of formation from the pure elements**: -0.10 eV per atom
**Calculated total energy**: -4.558 eV/atom
**ρ**: 4002 kg/m³
**D(E_F)**: 2.02 states/eV/f.u.

Geometry as POSCAR:
```
KLaRh
1.0
4.2156 0.0000 0.0000
-2.1078 3.6508 0.0000
0.0000 0.0000 7.5736
K La Rh
1 1 1
Direct
0.0000 0.0000 0.9289 K
0.3333 0.6667 0.4574 La
0.6667 0.3333 0.6137 Rh
```

***

Record 5
In2RuBr: optimized geometry, PBE-GGA.

**Energy relative to the elements, uncorrected**: 13.0 kJ per mole of atoms
**SG**: Cm, No. 8
**Calculated total energy**: -3.972 eV/atom
**ρ**: 7210 kg/m³
**D(E_F)**: 3.28 states/eV/f.u.

Geometry as POSCAR:
```
In2RuBr
1.0
5.2985 0.0286 0.0498
4.3275 3.0573 0.0498
2.1827 0.6997 5.9056
Ru Br In
1 1 2
Direct
0.5410 0.5410 0.6186 Ru
0.1640 0.1640 0.2644 Br
0.9830 0.9830 0.9895 In
0.8120 0.8120 0.6275 In
```

***

Record 6
Hf2NiS6: optimized geometry, PBE-GGA.

**Energy relative to the elements, uncorrected**: -84.2 kJ per mole of atoms
**SG**: P4_2/mnm, No. 136
**Calculated total energy**: -6.479 eV/atom
**ρ**: 5456 kg/m³
**D(E_F)**: 3.85 states/eV/f.u.

Geometry as POSCAR:
```
Hf2NiS6
1.0
-4.9029 -2.9892 -0.9312
1.1036 -0.0309 -5.7115
5.5084 -9.3824 1.1152
Hf Ni S
4 2 12
Direct
0.5000 0.5000 0.3382 Hf
0.5000 0.5000 0.6618 Hf
0.0000 0.0000 0.1618 Hf
0.0000 0.0000 0.8382 Hf
0.5000 0.5000 0.0000 Ni
0.0000 0.0000 0.5000 Ni
0.6874 0.6874 0.1574 S
0.6874 0.6874 0.8426 S
0.7116 0.7116 0.5000 S
0.7884 0.2116 0.0000 S
0.8126 0.1874 0.3426 S
0.8126 0.1874 0.6574 S
0.1874 0.8126 0.3426 S
0.1874 0.8126 0.6574 S
0.2116 0.7884 0.0000 S
0.2884 0.2884 0.5000 S
0.3126 0.3126 0.1574 S
0.3126 0.3126 0.8426 S
```

***

Record 7
Ca2Rh3Pb5: optimized geometry, PBE-GGA.

**SG**: Cmc2_1, No. 36
**Energy of formation from the pure elements**: -0.31 eV per atom
**Calculated total energy**: -4.775 eV/atom
**ρ**: 9972 kg/m³
**D(E_F)**: 6.31 states/eV/f.u.

Geometry as POSCAR:
```
Ca2Rh3Pb5
1.0
0.0331 3.4779 -2.9790
-4.7221 -3.7541 -4.4354
-10.7563 3.9978 8.0679
Ca Rh Pb
4 6 10
Direct
0.4761 0.7601 0.9522 Ca
0.1722 0.7223 0.3443 Ca
0.8278 0.2223 0.6557 Ca
0.5239 0.2601 0.0478 Ca
0.7767 0.7210 0.5534 Rh
0.6052 0.5128 0.2105 Rh
0.0480 0.9736 0.0959 Rh
0.2233 0.2210 0.4466 Rh
0.9520 0.4736 0.9041 Rh
0.3948 0.0128 0.7895 Rh
0.4041 0.3859 0.8082 Pb
0.2912 0.5081 0.5824 Pb
0.7088 0.0081 0.4176 Pb
0.1219 0.2504 0.2439 Pb
0.2957 0.9398 0.5914 Pb
0.9524 0.0907 0.9047 Pb
0.7043 0.4398 0.4086 Pb
0.8781 0.7504 0.7561 Pb
0.0476 0.5907 0.0953 Pb
0.5959 0.8859 0.1918 Pb
```

***

Record 8
CeTc2GeC: optimized geometry, PBE-GGA.

**SG**: Cmcm, No. 63
**Energy of formation from the pure elements**: -0.37 eV per atom
**Calculated total energy**: -8.474 eV/atom
**ρ**: 8474 kg/m³
**D(E_F)**: 6.08 states/eV/f.u.

Geometry as POSCAR:
```
CeTc2GeC
1.0
-0.7920 2.2759 3.0463
-3.4790 -4.8089 0.2119
5.2502 -3.6189 4.0686
Ce Tc Ge C
2 4 2 2
Direct
0.4579 0.9159 0.7500 Ce
0.5421 0.0841 0.2500 Ce
0.1670 0.3341 0.9412 Tc
0.8330 0.6659 0.0588 Tc
0.1670 0.3341 0.5588 Tc
0.8330 0.6659 0.4412 Tc
0.7370 0.4741 0.7500 Ge
0.2630 0.5259 0.2500 Ge
0.0000 0.0000 0.0000 C
0.0000 0.0000 0.5000 C
```

***

Record 9
LiVGe2P: optimized geometry, PBE-GGA.

**SG**: P4/mmm, No. 123
**Energy of formation from the pure elements**: 0.45 eV per atom
**Calculated total energy**: -4.681 eV/atom
**ρ**: 3634 kg/m³
**D(E_F)**: 5.13 states/eV/f.u.

Geometry as POSCAR:
```
LiVGe2P
1.0
4.8714 0.0000 0.0000
0.0000 4.5081 0.0000
0.0000 0.0000 4.8714
P Ge Li V
1 2 1 1
Direct
0.0000 0.0000 0.0000 P
0.0000 0.0000 0.5000 Ge
0.5000 0.0000 0.0000 Ge
0.5000 0.5000 0.5000 Li
0.0000 0.5000 0.0000 V
```

***

Record 10
SbAuSI2: optimized geometry, PBE-GGA.

**Energy relative to the elements, uncorrected**: 71.3 kJ per mole of atoms
**SG**: P4/mmm, No. 123
**Calculated total energy**: -2.186 eV/atom
**ρ**: 5997 kg/m³
**D(E_F)**: 6.22 states/eV/f.u.

Geometry as POSCAR:
```
SbAuSI2
1.0
-3.3673 -4.1169 1.1548
3.7640 -2.1568 3.2866
-2.1065 2.9411 4.3425
I Sb S Au
2 1 1 1
Direct
0.0000 0.5000 0.0000 I
0.5000 0.0000 0.0000 I
0.0000 0.0000 0.5000 Sb
0.5000 0.5000 0.5000 S
0.0000 0.0000 0.0000 Au
```

***

Record 11
IrOs2Pb: optimized geometry, PBE-GGA.

**SG**: Pmm2, No. 25
**Energy of formation from the pure elements**: 0.66 eV per atom
**Calculated total energy**: -8.101 eV/atom
**ρ**: 18397 kg/m³
**D(E_F)**: 3.88 states/eV/f.u.

Geometry as POSCAR:
```
IrOs2Pb
1.0
2.8387 0.0000 0.0000
0.0000 3.6968 0.0000
0.0000 0.0000 6.7081
Ir Os Pb
1 2 1
Direct
0.5000 0.5000 0.7958 Ir
0.0000 0.0000 0.0078 Os
0.5000 0.5000 0.1927 Os
0.0000 0.0000 0.5038 Pb
```

***

Record 12
GaCoCuIr: optimized geometry, PBE-GGA.

**SG**: F-43m, No. 216
**Energy of formation from the pure elements**: -0.09 eV per atom
**Calculated total energy**: -5.863 eV/atom
**ρ**: 12379 kg/m³
**D(E_F)**: 5.43 states/eV/f.u.

Geometry as POSCAR:
```
GaCoCuIr
1.0
4.1780 0.0000 0.0000
2.0890 3.6182 0.0000
2.0890 1.2061 3.4113
Ir Co Cu Ga
1 1 1 1
Direct
0.2500 0.2500 0.2500 Ir
0.7500 0.7500 0.7500 Co
0.0000 0.0000 0.0000 Cu
0.5000 0.5000 0.5000 Ga
```

***

Record 13
Ca2BiBr: optimized geometry, PBE-GGA.

**Energy relative to the elements, uncorrected**: -109.5 kJ per mole of atoms
**SG**: Fm-3m, No. 225
**Calculated total energy**: -3.524 eV/atom
**ρ**: 5100 kg/m³
**D(E_F)**: 0.00 states/eV/f.u.

Geometry as POSCAR:
```
Ca2BiBr
1.0
0.0000 3.9166 3.9166
3.9166 0.0000 3.9166
3.9166 3.9166 0.0000
Ca Bi Br
2 1 1
Direct
0.2500 0.2500 0.2500 Ca
0.7500 0.7500 0.7500 Ca
0.5000 0.5000 0.5000 Bi
0.0000 0.0000 0.0000 Br
```

***

Record 14
Ni3PtBr: optimized geometry, PBE-GGA.

**Energy relative to the elements, uncorrected**: 85.8 kJ per mole of atoms
**SG**: Pm-3m, No. 221
**Calculated total energy**: -4.123 eV/atom
**ρ**: 9445 kg/m³
**D(E_F)**: 6.16 states/eV/f.u.

Geometry as POSCAR:
```
Ni3PtBr
1.0
4.2963 0.0000 0.0000
0.0000 4.2963 0.0000
0.0000 0.0000 4.2963
Ni Br Pt
3 1 1
Direct
0.0000 0.5000 0.0000 Ni
0.0000 0.0000 0.5000 Ni
0.5000 0.0000 0.0000 Ni
0.0000 0.0000 0.0000 Br
0.5000 0.5000 0.5000 Pt
```

***

Record 15
Al2InS5: optimized geometry, PBE-GGA.

**Energy relative to the elements, uncorrected**: -60.1 kJ per mole of atoms
**SG**: Cmcm, No. 63
**Calculated total energy**: -4.481 eV/atom
**ρ**: 3130 kg/m³
**D(E_F)**: 3.38 states/eV/f.u.

Geometry as POSCAR:
```
Al2InS5
1.0
5.1104 0.0000 0.0000
-2.5552 6.0883 0.0000
0.0000 0.0000 11.2222
Al In S
4 2 10
Direct
0.8467 0.6935 0.4419 Al
0.8467 0.6935 0.0581 Al
0.1533 0.3065 0.5581 Al
0.1533 0.3065 0.9419 Al
0.7913 0.5826 0.7500 In
0.2087 0.4174 0.2500 In
0.9676 0.9351 0.8872 S
0.9676 0.9351 0.6128 S
0.3182 0.6364 0.4466 S
0.3182 0.6364 0.0534 S
0.7601 0.5203 0.2500 S
0.2399 0.4797 0.7500 S
0.6818 0.3636 0.5534 S
0.6818 0.3636 0.9466 S
0.0324 0.0649 0.1128 S
0.0324 0.0649 0.3872 S
```

***

Record 16
KAlSn3: optimized geometry, PBE-GGA.

**SG**: Pm-3m, No. 221
**Energy of formation from the pure elements**: 0.17 eV per atom
**Calculated total energy**: -3.195 eV/atom
**ρ**: 4311 kg/m³
**D(E_F)**: 3.39 states/eV/f.u.

Geometry as POSCAR:
```
KAlSn3
1.0
5.4585 0.0000 0.0000
0.0000 5.4585 0.0000
0.0000 0.0000 5.4585
K Sn Al
1 3 1
Direct
0.5000 0.5000 0.5000 K
0.0000 0.5000 0.0000 Sn
0.0000 0.0000 0.5000 Sn
0.5000 0.0000 0.0000 Sn
0.0000 0.0000 0.0000 Al
```

***

Record 17
Ag3TeO3: optimized geometry, PBE-GGA.

**Energy relative to the elements, uncorrected**: -23.1 kJ per mole of atoms
**SG**: C2/m, No. 12
**Calculated total energy**: -4.035 eV/atom
**ρ**: 6956 kg/m³
**D(E_F)**: 1.40 states/eV/f.u.

Geometry as POSCAR:
```
Ag3TeO3
1.0
6.5861 -0.7177 0.0451
-3.5767 5.5766 0.0451
-0.4733 -0.7641 6.9627
Ag Te O
6 2 6
Direct
0.7419 0.7419 0.4277 Ag
0.2903 0.7097 0.5000 Ag
0.7097 0.2903 0.5000 Ag
0.2805 0.7195 0.0000 Ag
0.7195 0.2805 0.0000 Ag
0.2581 0.2581 0.5723 Ag
0.7600 0.7600 0.8175 Te
0.2400 0.2400 0.1825 Te
0.8963 0.8963 0.1581 O
0.9053 0.5587 0.7663 O
0.5587 0.9053 0.7663 O
0.0947 0.4413 0.2337 O
0.4413 0.0947 0.2337 O
0.1037 0.1037 0.8419 O
```

***

Record 18
Ce2ThNbN5: optimized geometry, PBE-GGA.

**Energy relative to the elements, uncorrected**: -115.4 kJ per mole of atoms
**SG**: Cmc2_1, No. 36
**Calculated total energy**: -9.083 eV/atom
**ρ**: 8450 kg/m³
**D(E_F)**: 6.95 states/eV/f.u.

Geometry as POSCAR:
```
Ce2ThNbN5
1.0
3.4715 0.0000 0.0000
-1.7358 7.5332 0.0000
0.0000 0.0000 10.1474
Ce Th Nb N
4 2 2 10
Direct
0.8539 0.7077 0.7841 Ce
0.1299 0.2597 0.7073 Ce
0.1461 0.2923 0.2841 Ce
0.8701 0.7403 0.2073 Ce
0.5226 0.0453 0.9858 Th
0.4774 0.9547 0.4858 Th
0.7742 0.5485 0.5023 Nb
0.2258 0.4515 0.0023 Nb
0.3595 0.7190 0.9889 N
0.6964 0.3927 0.8764 N
0.5165 0.0329 0.7512 N
0.2723 0.5447 0.6553 N
0.9073 0.8145 0.5727 N
0.6405 0.2810 0.4889 N
0.3036 0.6073 0.3764 N
0.4835 0.9671 0.2512 N
0.7277 0.4553 0.1553 N
0.0927 0.1855 0.0727 N
```

***

Record 19
Ce3O2: optimized geometry, PBE-GGA.

**Energy relative to the elements, uncorrected**: -206.7 kJ per mole of atoms
**SG**: R-3c, No. 167
**Calculated total energy**: -7.686 eV/atom
**ρ**: 8015 kg/m³
**D(E_F)**: 8.99 states/eV/f.u.

Geometry as POSCAR:
```
Ce3O2
1.0
-3.1582 -4.8508 2.0088
1.5039 -5.6310 -1.8894
3.0797 -4.0164 4.4870
O Ce
4 6
Direct
0.8366 0.8366 0.4901 O
0.3366 0.3366 0.9901 O
0.1634 0.1634 0.5099 O
0.6634 0.6634 0.0099 O
0.0818 0.7500 0.7500 Ce
0.7500 0.4182 0.7500 Ce
0.4182 0.0818 0.7500 Ce
0.2500 0.5818 0.2500 Ce
0.5818 0.9182 0.2500 Ce
0.9182 0.2500 0.2500 Ce
```

***

Record 20
AcScTlSn: optimized geometry, PBE-GGA.

**SG**: F-43m, No. 216
**Energy of formation from the pure elements**: -0.35 eV per atom
**Calculated total energy**: -4.557 eV/atom
**ρ**: 8412 kg/m³
**D(E_F)**: 3.50 states/eV/f.u.

Geometry as POSCAR:
```
AcScTlSn
1.0
-3.7693 3.5634 1.8200
-1.1908 0.2422 5.3611
1.5475 4.3626 2.9649
Sc Ac Tl Sn
1 1 1 1
Direct
0.5000 0.5000 0.5000 Sc
0.0000 0.0000 0.0000 Ac
0.7500 0.7500 0.7500 Tl
0.2500 0.2500 0.2500 Sn
```

***

Record 21
La2TiZn4: optimized geometry, PBE-GGA.

**SG**: I4/mmm, No. 139
**Energy of formation from the pure elements**: 0.10 eV per atom
**Calculated total energy**: -3.163 eV/atom
**ρ**: 5230 kg/m³
**D(E_F)**: 10.76 states/eV/f.u.

Geometry as POSCAR:
```
La2TiZn4
1.0
-1.3857 -4.6785 0.2697
2.4352 -0.9592 -4.1269
6.9216 -4.4738 2.2307
Zn Ti La
4 1 2
Direct
0.8334 0.8334 0.3332 Zn
0.1666 0.1666 0.6668 Zn
0.0000 0.5000 0.0000 Zn
0.5000 0.0000 0.0000 Zn
0.0000 0.0000 0.0000 Ti
0.6294 0.6294 0.7412 La
0.3706 0.3706 0.2588 La
```

***

Record 22
Be2TcRh: optimized geometry, PBE-GGA.

**SG**: P4mm, No. 99
**Energy of formation from the pure elements**: -0.29 eV per atom
**Calculated total energy**: -6.584 eV/atom
**ρ**: 8202 kg/m³
**D(E_F)**: 1.97 states/eV/f.u.

Geometry as POSCAR:
```
Be2TcRh
1.0
2.7580 0.0000 0.0000
0.0000 2.7580 0.0000
0.0000 0.0000 5.8266
Be Rh Tc
2 1 1
Direct
0.0000 0.0000 0.0398 Be
0.5000 0.5000 0.2234 Be
0.0000 0.0000 0.4592 Rh
0.5000 0.5000 0.7776 Tc
```

***

Record 23
Y5TeSe4: optimized geometry, PBE-GGA.

**Energy relative to the elements, uncorrected**: -160.9 kJ per mole of atoms
**SG**: C2/m, No. 12
**Calculated total energy**: -6.608 eV/atom
**ρ**: 5860 kg/m³
**D(E_F)**: 5.29 states/eV/f.u.

Geometry as POSCAR:
```
Y5TeSe4
1.0
4.0243 0.0000 0.9193
1.6963 6.7619 1.8426
0.0042 0.0107 9.2501
Y Te Se
5 1 4
Direct
0.2094 0.8967 0.6844 Y
0.7906 0.1033 0.3156 Y
0.3867 0.3336 0.8930 Y
0.0000 0.5000 0.5000 Y
0.6133 0.6664 0.1070 Y
0.0000 0.0000 0.0000 Te
0.5937 0.2048 0.6077 Se
0.2043 0.3852 0.2063 Se
0.7957 0.6148 0.7937 Se
0.4063 0.7952 0.3923 Se
```

***

Record 24
ScAl2Hg: optimized geometry, PBE-GGA.

**SG**: P4/mmm, No. 123
**Energy of formation from the pure elements**: -0.09 eV per atom
**Calculated total energy**: -3.620 eV/atom
**ρ**: 6289 kg/m³
**D(E_F)**: 2.57 states/eV/f.u.

Geometry as POSCAR:
```
ScAl2Hg
1.0
-0.7363 0.9345 3.0277
2.7047 -1.4339 1.1003
3.7922 6.3556 -1.0395
Sc Hg Al
1 1 2
Direct
0.5000 0.5000 0.7500 Sc
0.5000 0.5000 0.2500 Hg
0.0000 0.0000 0.9995 Al
0.0000 0.0000 0.5005 Al
```